Entry 1:
# YMg4Cu, PBEsol geometry, DFT meta-GGA SCAN
data_YMg4Cu
_symmetry_space_group_name_H-M 'P 1'
_symmetry_Int_Tables_number 1
_symmetry_space_group_name_Hall 'P 1'
_cell_length_a 8.588
_cell_length_b 4.020
_cell_length_c 7.458
_cell_angle_alpha 90.00
_cell_angle_beta 90.00
_cell_angle_gamma 90.00
loop_
_atom_site_label
_atom_site_type_symbol
_atom_site_fract_x
_atom_site_fract_y
_atom_site_fract_z
Y1 Y 0.250 0.000 0.099
Y2 Y 0.750 0.000 0.901
Mg1 Mg 0.000 0.000 0.500
Mg2 Mg 0.060 0.500 0.810
Mg3 Mg 0.250 0.500 0.445
Mg4 Mg 0.440 0.500 0.810
Mg5 Mg 0.500 0.000 0.500
Mg6 Mg 0.560 0.500 0.190
Mg7 Mg 0.750 0.500 0.555
Mg8 Mg 0.940 0.500 0.190
Cu1 Cu 0.250 0.000 0.705
Cu2 Cu 0.750 0.000 0.295
# Density of states at the Fermi level (states/eV/f.u.): 3.083
# Formation energy (eV per formula unit): -0.87
# Total energy (eV per atom): -10.634
# Space-group type: No. 51
# Total magnetization (μB/cell): 0.00

Entry 2:
# LiPt2Br, PBEsol geometry, DFT meta-GGA SCAN
data_LiPt2Br
_symmetry_space_group_name_H-M 'P 1'
_symmetry_Int_Tables_number 1
_symmetry_space_group_name_Hall 'P 1'
_cell_length_a 5.726
_cell_length_b 5.726
_cell_length_c 3.739
_cell_angle_alpha 91.55
_cell_angle_beta 91.55
_cell_angle_gamma 34.49
loop_
_atom_site_label
_atom_site_type_symbol
_atom_site_fract_x
_atom_site_fract_y
_atom_site_fract_z
Li1 Li 0.000 0.000 0.000
Pt1 Pt 0.280 0.280 0.762
Pt2 Pt 0.720 0.720 0.238
Br1 Br 0.500 0.500 0.500
# Density of states at the Fermi level (states/eV/f.u.): 1.471
# Total energy (eV per atom): -40.793
# Raw formation energy (eV/atom): -0.234
# Space-group type: No. 12
# Total magnetization (μB/cell): 0.00

Entry 3:
# Li2TlRu, PBEsol geometry, DFT meta-GGA SCAN
data_Li2TlRu
_symmetry_space_group_name_H-M 'P 1'
_symmetry_Int_Tables_number 1
_symmetry_space_group_name_Hall 'P 1'
_cell_length_a 9.516
_cell_length_b 9.516
_cell_length_c 9.516
_cell_angle_alpha 17.49
_cell_angle_beta 17.49
_cell_angle_gamma 17.49
loop_
_atom_site_label
_atom_site_type_symbol
_atom_site_fract_x
_atom_site_fract_y
_atom_site_fract_z
Li1 Li 0.241 0.241 0.241
Li2 Li 0.759 0.759 0.759
Tl1 Tl 0.000 0.000 0.000
Ru1 Ru 0.500 0.500 0.500
# Density of states at the Fermi level (states/eV/f.u.): 2.012
# Formation energy (eV per formula unit): 1.01
# Total energy (eV per atom): -27.739
# Space-group type: No. 166
# Total magnetization (μB/cell): 0.95

Entry 4:
# SnIO2F, PBEsol geometry, DFT meta-GGA SCAN
data_SnIO2F
_symmetry_space_group_name_H-M 'P 1'
_symmetry_Int_Tables_number 1
_symmetry_space_group_name_Hall 'P 1'
_cell_length_a 4.577
_cell_length_b 4.577
_cell_length_c 4.049
_cell_angle_alpha 90.00
_cell_angle_beta 90.00
_cell_angle_gamma 90.00
loop_
_atom_site_label
_atom_site_type_symbol
_atom_site_fract_x
_atom_site_fract_y
_atom_site_fract_z
Sn1 Sn 0.000 0.000 0.000
I1 I 0.500 0.500 0.000
O1 O 0.000 0.500 0.500
O2 O 0.500 0.000 0.500
F1 F 0.500 0.500 0.500
# Density of states at the Fermi level (states/eV/f.u.): 1.025
# Total energy (eV per atom): -17.423
# Raw formation energy (eV/atom): 0.310
# Space-group type: No. 123
# Total magnetization (μB/cell): 2.02

Entry 5:
# Ni3OF5, PBEsol geometry, DFT meta-GGA SCAN
data_Ni3OF5
_symmetry_space_group_name_H-M 'P 1'
_symmetry_Int_Tables_number 1
_symmetry_space_group_name_Hall 'P 1'
_cell_length_a 5.487
_cell_length_b 5.487
_cell_length_c 7.045
_cell_angle_alpha 106.60
_cell_angle_beta 106.60
_cell_angle_gamma 73.69
loop_
_atom_site_label
_atom_site_type_symbol
_atom_site_fract_x
_atom_site_fract_y
_atom_site_fract_z
Ni1 Ni 0.000 0.000 0.000
Ni2 Ni 0.003 0.003 0.525
Ni3 Ni 0.319 0.319 0.862
Ni4 Ni 0.336 0.336 0.333
Ni5 Ni 0.651 0.651 0.178
Ni6 Ni 0.661 0.661 0.679
O1 O 0.097 0.097 0.808
O2 O 0.430 0.430 0.142
F1 F 0.024 0.632 0.844
F2 F 0.236 0.236 0.546
F3 F 0.300 0.697 0.509
F4 F 0.359 0.964 0.180
F5 F 0.555 0.555 0.877
F6 F 0.632 0.024 0.844
F7 F 0.697 0.300 0.509
F8 F 0.765 0.765 0.478
F9 F 0.893 0.893 0.213
F10 F 0.964 0.359 0.180
# Total energy (eV per atom): -10.085
# Raw formation energy (eV/atom): -2.034
# Space-group type: No. 8
# Total magnetization (μB/cell): 13.97

Entry 6:
# MgZnTc2, PBEsol geometry, DFT meta-GGA SCAN
data_MgZnTc2
_symmetry_space_group_name_H-M 'P 1'
_symmetry_Int_Tables_number 1
_symmetry_space_group_name_Hall 'P 1'
_cell_length_a 2.993
_cell_length_b 2.993
_cell_length_c 6.713
_cell_angle_alpha 90.00
_cell_angle_beta 90.00
_cell_angle_gamma 90.00
loop_
_atom_site_label
_atom_site_type_symbol
_atom_site_fract_x
_atom_site_fract_y
_atom_site_fract_z
Mg1 Mg 0.000 0.000 0.000
Zn1 Zn 0.500 0.500 0.728
Tc1 Tc 0.000 0.000 0.482
Tc2 Tc 0.500 0.500 0.277
# Density of states at the Fermi level (states/eV/f.u.): 1.416
# Formation energy (eV per formula unit): -0.43
# Total energy (eV per atom): -22.259
# Space-group type: No. 99
# Total magnetization (μB/cell): 0.00